No. 1
Hg2BiTe: optimized geometry, PBE.

Cell: 5.4053 5.4053 5.4053 Å, 60.00 60.00 60.00°
Closest atoms and distances in Å follow each position.
Fractional positions:
Hg1 0.2500 0.2500 0.2500  4 Te 3.31, 4 Bi 3.31
Hg2 0.7500 0.7500 0.7500  4 Te 3.31, 4 Bi 3.31
Bi1 0.0000 0.0000 0.0000  8 Hg 3.31
Te1 0.5000 0.5000 0.5000  8 Hg 3.31

Results
As for the space-group type: Fm-3m, No. 225. The energy above the lowest structure with this stoichiometry comes out at 0.140 eV per atom.

---

No. 2
Rb2Ho2SnSe6: optimized geometry, PBE.

Cell: 7.1125 7.1125 8.6057 Å, 98.10 98.10 119.92°
Closest atoms and distances in Å follow each position.
Fractional positions:
Rb1 0.1692 0.8308 0.0000  6 Se 3.48-3.51
Rb2 0.8308 0.1692 0.0000  6 Se 3.48-3.51
Ho1 0.3317 0.6683 0.5000  6 Se 2.87-2.89
Ho2 0.6683 0.3317 0.5000  6 Se 2.87-2.89
Sn1 0.0000 0.0000 0.5000  6 Se 2.75-2.78
Se1 0.0670 0.3884 0.6908  1 Sn 2.78, 2 Ho 2.87
Se2 0.2547 0.2547 0.3126  1 Sn 2.75, 2 Ho 2.89
Se3 0.3884 0.0670 0.6908  1 Sn 2.78, 2 Ho 2.87
Se4 0.6116 0.9330 0.3092  1 Sn 2.78, 2 Ho 2.87
Se5 0.7453 0.7453 0.6874  1 Sn 2.75, 2 Ho 2.89
Se6 0.9330 0.6116 0.3092  1 Sn 2.78, 2 Ho 2.87

Results
The calculated total energy is -50.74 eV/cell. As for the space-group type: C2/m, No. 12.

---

No. 3
Rb2Ac2HfS6: optimized geometry, PBE.

Cell: 7.2626 7.2626 8.2124 Å, 98.55 98.55 118.91°
Closest atoms and distances in Å follow each position.
Fractional positions:
Rb1 0.1679 0.8321 0.0000  6 S 3.35-3.64
Rb2 0.8321 0.1679 0.0000  6 S 3.35-3.64
Ac1 0.3346 0.6654 0.5000  6 S 2.96-2.99
Ac2 0.6654 0.3346 0.5000  6 S 2.96-2.99
Hf1 0.0000 0.0000 0.5000  6 S 2.58-2.61
S1 0.0602 0.3576 0.6876  1 Hf 2.61
S2 0.2259 0.2259 0.3119  1 Hf 2.58
S3 0.3576 0.0602 0.6876  1 Hf 2.61
S4 0.6424 0.9398 0.3124  1 Hf 2.61
S5 0.7741 0.7741 0.6881  1 Hf 2.58
S6 0.9398 0.6424 0.3124  1 Hf 2.61

Results
The calculated total energy is -64.40 eV/cell. As for the space-group type: C2/m, No. 12.

---

No. 4
ReTe2Se: optimized geometry, PBE.

Cell: 4.8984 4.8984 4.8984 Å, 60.00 60.00 60.00°
Closest atoms and distances in Å follow each position.
Fractional positions:
Re1 0.0000 0.0000 0.0000  4 Se 3.00, 4 Te 3.00
Te1 0.2500 0.2500 0.2500  4 Te 3.00, 4 Re 3.00
Te2 0.5000 0.5000 0.5000  4 Se 3.00, 4 Te 3.00
Se1 0.7500 0.7500 0.7500  4 Te 3.00, 4 Re 3.00

Results
The calculated total energy is -18.48 eV/cell. As for the space-group type: F-43m, No. 216.